No. 1
## TbBRu2C (PBE)

Data for crystalline TbBRu2C at its relaxed geometry.

```
TbBRu2C
1.0
1.784 -5.400 0.000
1.784 5.400 0.000
0.000 0.000 7.050
Tb B Ru C
2 2 4 2
Direct
0.050 0.950 0.750 Tb
0.950 0.050 0.250 Tb
0.224 0.776 0.250 B
0.776 0.224 0.750 B
0.330 0.670 0.566 Ru
0.330 0.670 0.934 Ru
0.670 0.330 0.066 Ru
0.670 0.330 0.434 Ru
0.500 0.500 0.000 C
0.500 0.500 0.500 C
```

Summary:
Size of the total moment, μB/f.u.: 0.000
Crystal system: orthorhombic
ΔE_f, meV/atom: -317

No. 2
## TiBRuC2 (PBE)

Data for crystalline TiBRuC2 at its relaxed geometry.

```
TiBRuC2
1.0
3.831 0.000 0.000
0.000 3.831 0.000
0.000 0.000 4.920
Ti B Ru C
1 1 1 2
Direct
0.000 0.000 0.000 Ti
0.500 0.500 0.500 B
0.000 0.000 0.500 Ru
0.000 0.500 0.000 C
0.500 0.000 0.000 C
```

Summary:
Size of the total moment, μB/f.u.: 0.957
Crystal system: tetragonal
ΔE_f, meV/atom: 2416

No. 3
## Tm2B2Ru2C (PBE)

Data for crystalline Tm2B2Ru2C at its relaxed geometry.

```
Tm2B2Ru2C
1.0
5.380 -1.815 0.000
5.380 1.815 0.000
-3.957 0.000 5.192
Tm B Ru C
2 2 2 1
Direct
0.063 0.063 0.318 Tm
0.937 0.937 0.682 Tm
0.326 0.326 0.267 B
0.674 0.674 0.733 B
0.291 0.291 0.892 Ru
0.709 0.709 0.108 Ru
0.500 0.500 0.000 C
```

Summary:
Size of the total moment, μB/f.u.: 0.000
Crystal system: monoclinic
ΔE_f, meV/atom: -488

Question: What is the formula in the second record?
Answer: TiBRuC2

Question: What is the ΔE_f in the second record?
Answer: 2416 meV/atom

Question: What is the ΔE_f in the second record?
Answer: 2416 meV/atom

Repeat the second record exactly.
## TiBRuC2 (PBE)

Data for crystalline TiBRuC2 at its relaxed geometry.

```
TiBRuC2
1.0
3.831 0.000 0.000
0.000 3.831 0.000
0.000 0.000 4.920
Ti B Ru C
1 1 1 2
Direct
0.000 0.000 0.000 Ti
0.500 0.500 0.500 B
0.000 0.000 0.500 Ru
0.000 0.500 0.000 C
0.500 0.000 0.000 C
```

Summary:
Size of the total moment, μB/f.u.: 0.957
Crystal system: tetragonal
ΔE_f, meV/atom: 2416